A relaxed SrHg2Sb crystal, computed with PBE.

Cell and atoms, written as CIF:
```
data_SrHg2Sb
_chemical_formula_sum 'Sr2 Hg4 Sb2'
_symmetry_space_group_name_H-M 'C 1 m 1'
_symmetry_Int_Tables_number 8
_symmetry_space_group_name_Hall 'C -2y'
_cell_length_a 11.144
_cell_length_b 4.810
_cell_length_c 4.802
_cell_angle_alpha 90.00
_cell_angle_beta 115.42
_cell_angle_gamma 90.00
loop_
_atom_site_label
_atom_site_type_symbol
_atom_site_fract_x
_atom_site_fract_y
_atom_site_fract_z
Sr1 Sr 0.000 0.000 0.000
Hg1 Hg 0.000 0.500 0.499
Hg2 Hg 0.250 0.500 0.250
Sb1 Sb 0.250 0.000 0.750
```

formation energy (no corrections)	-0.39	eV per atom
total energy	-1.989	eV per atom
M_tot	0.00	μB per cell